DFT (GGA-PBEsol) results for a relaxed structure of Be2SiAg.

Cell and atoms, written as POSCAR:
```
Be2SiAg
1.0
-1.877 0.544 -1.740
1.086 -1.673 -1.694
-3.918 -5.179 2.605
Be Si Ag
2 1 1
direct
0.000 0.000 0.238
0.000 0.000 0.762
0.500 0.500 0.000
0.500 0.500 0.500
```

Results
The value obtained for the theoretical density is 5.3 Mg/m³. The total magnetization comes out at 0.00 μB/f.u. The value obtained for the formation energy (no corrections) is 1.25 eV per formula unit. The calculation puts the final energy at -15.810 eV per cell. For the density of states at the Fermi level, the calculation gives 1.459 states/eV per cell. The value obtained for the volume is 11.98 A^3/atom.

=====

DFT (GGA-PBEsol) results for a relaxed structure of BeSi2Ag.

Cell and atoms, written as POSCAR:
```
BeSi2Ag
1.0
-0.226 2.418 1.081
0.375 -1.379 3.164
6.045 0.741 -0.394
Ag Si Be
1 2 1
direct
0.500 0.500 0.000
0.000 0.000 0.295
0.000 0.000 0.705
0.500 0.500 0.500
```

Results
The value obtained for the theoretical density is 5.1 Mg/m³. The total magnetization comes out at 0.00 μB/f.u. The value obtained for the formation energy (no corrections) is 1.55 eV per formula unit. The calculation puts the final energy at -17.257 eV per cell. For the density of states at the Fermi level, the calculation gives 1.321 states/eV per cell. The value obtained for the volume is 14.08 A^3/atom.

=====

DFT (GGA-PBEsol) results for a relaxed structure of BeSi2Ag.

Cell and atoms, written as POSCAR:
```
BeSi2Ag
1.0
2.644 0.000 0.000
0.000 4.055 0.000
-1.322 -2.028 5.266
Be Ag Si
1 1 2
direct
0.000 0.500 0.000
0.500 0.000 0.000
0.694 0.694 0.389
0.306 0.306 0.611
```

Results
The value obtained for the theoretical density is 5.1 Mg/m³. The total magnetization comes out at 0.00 μB/f.u. The value obtained for the formation energy (no corrections) is 1.27 eV per formula unit. The calculation puts the final energy at -17.533 eV per cell. For the density of states at the Fermi level, the calculation gives 1.187 states/eV per cell. The value obtained for the volume is 14.12 A^3/atom.

=====

DFT (GGA-PBEsol) results for a relaxed structure of BeSi2Ag.

Cell and atoms, written as POSCAR:
```
BeSi2Ag
1.0
-0.215 -1.339 -2.365
1.295 -2.643 2.951
-5.450 -0.018 0.505
Be Si Ag
1 2 1
direct
0.500 0.000 0.000
0.758 0.515 0.797
0.242 0.485 0.203
0.000 0.000 0.500
```

Results
The value obtained for the theoretical density is 5.1 Mg/m³. The total magnetization comes out at 0.00 μB/f.u. The value obtained for the formation energy (no corrections) is 1.27 eV per formula unit. The calculation puts the final energy at -17.534 eV per cell. For the density of states at the Fermi level, the calculation gives 0.999 states/eV per cell. The value obtained for the volume is 14.21 A^3/atom.

=====

DFT (GGA-PBEsol) results for a relaxed structure of BeSi2Ag.

Cell and atoms, written as POSCAR:
```
BeSi2Ag
1.0
-2.594 0.080 2.529
1.580 -4.392 -0.559
2.836 0.652 2.889
Si Be Ag
2 1 1
direct
0.166 0.328 0.000
0.834 0.672 0.000
0.500 0.500 0.500
0.000 0.000 0.500
```

Results
The value obtained for the theoretical density is 4.4 Mg/m³. The total magnetization comes out at 0.00 μB/f.u. The value obtained for the formation energy (no corrections) is 1.30 eV per formula unit. The calculation puts the final energy at -17.505 eV per cell. For the density of states at the Fermi level, the calculation gives 1.032 states/eV per cell. The value obtained for the volume is 16.39 A^3/atom.

=====

DFT (GGA-PBEsol) results for a relaxed structure of BeSiAg2.

Cell and atoms, written as POSCAR:
```
BeSiAg2
1.0
-0.692 1.459 2.332
-1.306 -3.907 2.057
4.465 0.646 0.920
Ag Si Be
2 1 1
direct
0.000 0.000 0.500
0.000 0.500 0.000
0.500 0.500 0.500
0.500 0.000 0.000
```

Results
The value obtained for the theoretical density is 7.3 Mg/m³. The total magnetization comes out at 0.00 μB/f.u. The value obtained for the formation energy (no corrections) is 1.22 eV per formula unit. The value obtained for the energy above the lowest structure with this stoichiometry is 108 meV per atom. The calculation puts the final energy at -15.153 eV per cell. For the density of states at the Fermi level, the calculation gives 1.162 states/eV per cell. The value obtained for the volume is 14.32 A^3/atom.

=====

DFT (GGA-PBEsol) results for a relaxed structure of SrBe2Ag.

Cell and atoms, written as POSCAR:
```
SrBe2Ag
1.0
-2.969 0.519 3.317
3.297 -0.386 3.011
1.017 8.185 -3.398
Ag Be Sr
2 4 2
direct
0.000 0.000 0.000
0.250 0.750 0.500
0.125 0.875 0.750
0.625 0.875 0.750
0.125 0.875 0.250
0.125 0.375 0.250
0.500 0.500 0.000
0.750 0.250 0.500
```

Results
The value obtained for the theoretical density is 4.2 Mg/m³. The total magnetization comes out at 0.00 μB/f.u. The value obtained for the energy of formation is 0.290 eV/atom. The calculation puts the final energy at -23.985 eV per cell. For the density of states at the Fermi level, the calculation gives 4.856 states/eV per cell. The value obtained for the volume is 20.94 A^3/atom.

=====

DFT (GGA-PBEsol) results for a relaxed structure of TaBe2Ag.

Cell and atoms, written as POSCAR:
```
TaBe2Ag
1.0
2.820 0.000 0.000
0.000 2.820 0.000
0.000 0.000 6.354
Ta Be Ag
1 2 1
direct
0.500 0.500 0.000
0.000 0.000 0.732
0.000 0.000 0.268
0.500 0.500 0.500
```

Results
The value obtained for the theoretical density is 10.1 Mg/m³. The total magnetization comes out at 0.00 μB/f.u. The value obtained for the energy of formation is 0.044 eV/atom. The calculation puts the final energy at -23.688 eV per cell. For the density of states at the Fermi level, the calculation gives 1.286 states/eV per cell. The value obtained for the volume is 12.63 A^3/atom.

=====

DFT (GGA-PBEsol) results for a relaxed structure of Ta2BeAgW.

Cell and atoms, written as POSCAR:
```
Ta2BeAgW
1.0
-2.302 2.804 -1.769
-1.213 -2.929 -3.066
-3.414 -1.217 2.513
Be W Ta Ag
1 1 2 1
direct
0.000 0.000 0.000
0.500 0.500 0.500
0.000 0.500 0.000
0.000 0.000 0.500
0.500 0.000 0.000
```

Results
The value obtained for the theoretical density is 14.0 Mg/m³. The total magnetization comes out at 0.00 μB/f.u. The value obtained for the energy of formation is 0.786 eV/atom. The calculation puts the final energy at -42.291 eV per cell. For the density of states at the Fermi level, the calculation gives 3.328 states/eV per cell. The value obtained for the volume is 15.70 A^3/atom.

=====

DFT (GGA-PBEsol) results for a relaxed structure of BeTcAg.

Cell and atoms, written as POSCAR:
```
BeTcAg
1.0
2.674 0.000 0.000
-1.337 2.315 0.000
0.000 0.000 6.385
Ag Tc Be
1 1 1
direct
0.000 0.000 0.978
0.667 0.333 0.361
0.333 0.667 0.661
```

Results
The value obtained for the theoretical density is 9.0 Mg/m³. The total magnetization comes out at 0.00 μB/f.u. The value obtained for the energy of formation is 0.272 eV/atom. The calculation puts the final energy at -17.763 eV per cell. For the density of states at the Fermi level, the calculation gives 1.432 states/eV per cell. The value obtained for the volume is 13.18 A^3/atom.

=====

DFT (GGA-PBEsol) results for a relaxed structure of BeTcAg2.

Cell and atoms, written as POSCAR:
```
BeTcAg2
1.0
2.681 0.000 0.000
0.000 4.537 0.000
0.000 0.000 4.698
Ag Tc Be
2 1 1
direct
0.000 0.000 0.000
0.500 0.500 0.000
0.000 0.500 0.500
0.500 0.000 0.500
```

Results
The value obtained for the theoretical density is 9.4 Mg/m³. The total magnetization comes out at 0.21 μB/f.u. The value obtained for the energy of formation is 0.488 eV/atom. The calculation puts the final energy at -19.935 eV per cell. For the density of states at the Fermi level, the calculation gives 2.800 states/eV per cell. The value obtained for the volume is 14.28 A^3/atom.

=====

DFT (GGA-PBEsol) results for a relaxed structure of BeTcAg2.

Cell and atoms, written as POSCAR:
```
BeTcAg2
1.0
-0.519 -2.276 1.206
4.041 -1.177 -0.481
1.396 3.230 3.829
Ag Tc Be
2 1 1
direct
0.650 0.000 0.763
0.350 0.000 0.237
0.000 0.500 0.500
0.500 0.500 0.000
```

Results
The value obtained for the theoretical density is 9.6 Mg/m³. The total magnetization comes out at 0.00 μB/f.u. The value obtained for the energy of formation is 0.451 eV/atom. The calculation puts the final energy at -20.087 eV per cell. For the density of states at the Fermi level, the calculation gives 2.857 states/eV per cell. The value obtained for the volume is 14.00 A^3/atom.